First-principles (GGA-PBEsol) data for crystalline Sc2IrAu at its relaxed geometry, as listed in Alexandria via LeMat-Bulk.

## Properties
* formation enthalpy at 0 K: -0.875 eV per atom
* ρ: 11.41 g/cm³

a b c (Å): 4.6832 4.6832 3.1804
angles (deg): 90.00 90.00 90.00
Space group P4/mmm (No. 123)
One atom of each set of equivalent atoms:
1 Sc 0.0000 0.5000 0.0000 (multiplicity 2)
2 Ir 0.0000 0.0000 0.5000 (multiplicity 1)
3 Au 0.5000 0.5000 0.5000 (multiplicity 1)